Material: PrNd3Sn12
Method: DFT, PBE
State: relaxed

The calculation puts the volume at 27.26 A^3/atom. The energy relative to the elements comes out at -503 meV per atom. Its density of states at the Fermi level is 0.59 states/eV per atom. The value obtained for the total energy is -4.697 eV per atom.

Cell lengths 4.7971, 4.7971, 18.9501 Å; angles 90.00, 90.00, 90.00 degrees
Element x y z (fractional)
Pr 0.0000 0.0000 0.0000
Nd 0.0000 0.0000 0.2504
Nd 0.0000 0.0000 0.5000
Nd 0.0000 0.0000 0.7496
Sn 0.5000 0.5000 0.0000
Sn 0.5000 0.5000 0.2505
Sn 0.5000 0.5000 0.5000
Sn 0.5000 0.5000 0.7495
Sn 0.5000 0.0000 0.1258
Sn 0.5000 0.0000 0.3752
Sn 0.5000 0.0000 0.6248
Sn 0.5000 0.0000 0.8742
Sn 0.0000 0.5000 0.1258
Sn 0.0000 0.5000 0.3752
Sn 0.0000 0.5000 0.6248
Sn 0.0000 0.5000 0.8742

***

Material: Pr5NdSn3
Method: DFT, PBE
State: relaxed

The calculation puts the volume at 31.03 A^3/atom. The energy relative to the elements comes out at -575 meV per atom. As for the offset from the most stable computed form: 0.000 eV per atom. Its density of states at the Fermi level is 1.06 states/eV per atom. The value obtained for the total energy is -5.094 eV per atom.

Cell lengths 6.8241, 9.7218, 9.7226 Å; angles 120.00, 90.00, 90.00 degrees
Element x y z (fractional)
Pr 0.0000 0.6667 0.3333
Pr 0.5000 0.3333 0.6667
Pr 0.0000 0.3333 0.6667
Pr 0.5000 0.6667 0.3333
Pr 0.7500 0.6668 0.6668
Pr 0.7500 0.0000 0.3332
Pr 0.7500 0.3333 0.0000
Pr 0.2500 0.3332 0.3332
Pr 0.2500 0.0000 0.6668
Pr 0.2500 0.6667 0.0000
Nd 0.0000 0.0000 0.0000
Nd 0.5000 0.0000 0.0000
Sn 0.7500 0.3327 0.3327
Sn 0.7500 0.0000 0.6673
Sn 0.7500 0.6673 0.0000
Sn 0.2500 0.6673 0.6673
Sn 0.2500 0.0000 0.3327
Sn 0.2500 0.3327 0.0000

***

Material: Pr4Nd5Sn2
Method: DFT, PBE
State: relaxed

The calculation puts the volume at 36.25 A^3/atom. The energy relative to the elements comes out at 69 meV per atom. Its density of states at the Fermi level is 1.51 states/eV per atom. The value obtained for the total energy is -4.564 eV per atom.

Cell lengths 5.3708, 5.3708, 16.2605 Å; angles 80.49, 80.49, 60.00 degrees
Element x y z (fractional)
Pr 0.7260 0.7260 0.8221
Pr 0.5727 0.5727 0.2819
Pr 0.4273 0.4273 0.7181
Pr 0.2740 0.2740 0.1779
Nd 0.8042 0.8042 0.5874
Nd 0.6481 0.6481 0.0557
Nd 0.5000 0.5000 0.5000
Nd 0.3519 0.3519 0.9443
Nd 0.1958 0.1958 0.4126
Sn 0.1218 0.1218 0.6345
Sn 0.8782 0.8782 0.3655

***

Material: Pr3Nd2Sn2
Method: DFT, PBE
State: relaxed

The calculation puts the volume at 32.83 A^3/atom. The energy relative to the elements comes out at -300 meV per atom. Its density of states at the Fermi level is 1.20 states/eV per atom. The value obtained for the total energy is -4.855 eV per atom.

Cell lengths 3.6004, 8.2257, 9.0818 Å; angles 118.69, 101.43, 90.00 degrees
Element x y z (fractional)
Pr 0.0000 0.5000 0.0000
Pr 0.2122 0.7728 0.4245
Pr 0.7878 0.2272 0.5755
Nd 0.8905 0.7519 0.7810
Nd 0.1095 0.2481 0.2190
Sn 0.5820 0.8882 0.1639
Sn 0.4180 0.1118 0.8361

***

Material: Pr5Nd4Sn2
Method: DFT, PBE
State: relaxed

The calculation puts the volume at 36.23 A^3/atom. The energy relative to the elements comes out at 76 meV per atom. Its density of states at the Fermi level is 1.53 states/eV per atom. The value obtained for the total energy is -4.558 eV per atom.

Cell lengths 5.3858, 5.3858, 16.1666 Å; angles 80.41, 80.41, 60.00 degrees
Element x y z (fractional)
Pr 0.8045 0.8045 0.5865
Pr 0.6477 0.6477 0.0568
Pr 0.5000 0.5000 0.5000
Pr 0.3523 0.3523 0.9432
Pr 0.1955 0.1955 0.4135
Nd 0.7265 0.7265 0.8204
Nd 0.5728 0.5728 0.2816
Nd 0.4272 0.4272 0.7184
Nd 0.2735 0.2735 0.1796
Sn 0.1197 0.1197 0.6409
Sn 0.8803 0.8803 0.3591

***

Material: PrNd4Sn2
Method: DFT, PBE
State: relaxed

The calculation puts the volume at 36.28 A^3/atom. The energy relative to the elements comes out at -252 meV per atom. Its density of states at the Fermi level is 1.39 states/eV per atom. The value obtained for the total energy is -4.803 eV per atom.

Cell lengths 5.2475, 5.2475, 11.0713 Å; angles 76.29, 76.29, 60.00 degrees
Element x y z (fractional)
Pr 0.5000 0.5000 0.5000
Nd 0.7036 0.7036 0.8892
Nd 0.8911 0.8911 0.3266
Nd 0.2964 0.2964 0.1108
Nd 0.1089 0.1089 0.6734
Sn 0.6008 0.6008 0.1977
Sn 0.3992 0.3992 0.8023

***

Material: Pr3Nd4Sn4
Method: DFT, PBE
State: relaxed

The calculation puts the volume at 32.44 A^3/atom. The energy relative to the elements comes out at -556 meV per atom. Its density of states at the Fermi level is 1.18 states/eV per atom. The value obtained for the total energy is -5.048 eV per atom.

Cell lengths 4.1649, 9.2836, 10.5380 Å; angles 116.13, 101.40, 90.00 degrees
Element x y z (fractional)
Pr 0.0958 0.0958 0.1916
Pr 0.9042 0.9042 0.8084
Pr 0.0000 0.5000 0.0000
Nd 0.3302 0.1535 0.6604
Nd 0.6698 0.4931 0.3396
Nd 0.6698 0.8465 0.3396
Nd 0.3302 0.5069 0.6604
Sn 0.2713 0.7713 0.5426
Sn 0.7287 0.2287 0.4574
Sn 0.5000 0.7781 0.0000
Sn 0.5000 0.2219 0.0000

***

Material: Pr3Nd5Sn2
Method: DFT, PBE
State: relaxed

The calculation puts the volume at 34.56 A^3/atom. The energy relative to the elements comes out at -94 meV per atom. Its density of states at the Fermi level is 1.36 states/eV per atom. The value obtained for the total energy is -4.713 eV per atom.

Cell lengths 6.6389, 10.8076, 10.8076 Å; angles 93.83, 72.11, 72.11 degrees
Element x y z (fractional)
Pr 0.2500 0.0000 0.0000
Pr 0.7500 0.0000 0.0000
Pr 0.3693 0.3513 0.9102
Pr 0.6307 0.6487 0.0898
Pr 0.8693 0.9102 0.3513
Pr 0.1307 0.0898 0.6487
Nd 0.2500 0.5000 0.5000
Nd 0.7500 0.5000 0.5000
Nd 0.5022 0.7478 0.7478
Nd 0.9978 0.2522 0.2522
Nd 0.4978 0.2522 0.2522
Nd 0.0022 0.7478 0.7478
Nd 0.0919 0.5711 0.2450
Nd 0.9081 0.4289 0.7550
Nd 0.5919 0.2450 0.5711
Nd 0.4081 0.7550 0.4289
Sn 0.1365 0.7157 0.0113
Sn 0.8635 0.2843 0.9887
Sn 0.6365 0.0113 0.7157
Sn 0.3635 0.9887 0.2843

***

Material: Pr5NdSn5
Method: DFT, PBE
State: relaxed

The calculation puts the volume at 35.73 A^3/atom. The energy relative to the elements comes out at -495 meV per atom. Its density of states at the Fermi level is 0.94 states/eV per atom. The value obtained for the total energy is -4.920 eV per atom.

Cell lengths 6.4066, 7.9589, 8.8317 Å; angles 106.05, 90.00, 113.73 degrees
Element x y z (fractional)
Pr 0.6677 0.3354 0.3336
Pr 0.6689 0.3377 0.8356
Pr 0.0000 0.0000 0.5000
Pr 0.3311 0.6623 0.1644
Pr 0.3323 0.6646 0.6664
Nd 0.0000 0.0000 0.0000
Sn 0.8366 0.6732 0.1711
Sn 0.8355 0.6709 0.6655
Sn 0.5000 0.0000 0.0000
Sn 0.1645 0.3291 0.3345
Sn 0.1634 0.3268 0.8289

***

Material: Pr4NdSn3
Method: DFT, PBE
State: relaxed

The calculation puts the volume at 32.77 A^3/atom. The energy relative to the elements comes out at -585 meV per atom. As for the offset from the most stable computed form: 0.097 eV per atom. Its density of states at the Fermi level is 0.82 states/eV per atom. The value obtained for the total energy is -5.072 eV per atom.

Cell lengths 4.8272, 9.6592, 9.7513 Å; angles 141.14, 104.33, 90.00 degrees
Element x y z (fractional)
Pr 0.1400 0.8508 0.2799
Pr 0.8600 0.1492 0.7201
Pr 0.6573 0.4766 0.3147
Pr 0.3427 0.5234 0.6853
Nd 0.0000 0.0000 0.0000
Sn 0.3354 0.8718 0.6709
Sn 0.6646 0.1282 0.3291
Sn 0.5000 0.5000 0.0000

***

Material: Pr2NdSn2
Method: DFT, PBE
State: relaxed

The calculation puts the volume at 32.22 A^3/atom. The energy relative to the elements comes out at -601 meV per atom. As for the offset from the most stable computed form: 0.093 eV per atom. Its density of states at the Fermi level is 0.87 states/eV per atom. The value obtained for the total energy is -5.068 eV per atom.

Cell lengths 4.8814, 7.0201, 10.4366 Å; angles 77.28, 76.48, 69.65 degrees
Element x y z (fractional)
Pr 0.3148 0.2811 0.0893
Pr 0.4904 0.3402 0.6791
Pr 0.6852 0.7189 0.9107
Pr 0.5096 0.6598 0.3209
Nd 0.7879 0.0773 0.3469
Nd 0.2121 0.9227 0.6531
Sn 0.9576 0.1898 0.8950
Sn 0.1250 0.3223 0.4276
Sn 0.0424 0.8102 0.1050
Sn 0.8750 0.6777 0.5724

***

Material: PrNd4Sn4
Method: DFT, PBE
State: relaxed

The calculation puts the volume at 35.13 A^3/atom. The energy relative to the elements comes out at -465 meV per atom. Its density of states at the Fermi level is 1.30 states/eV per atom. The value obtained for the total energy is -4.895 eV per atom.

Cell lengths 6.3900, 9.9472, 9.9472 Å; angles 90.00, 90.00, 90.00 degrees
Element x y z (fractional)
Pr 0.0000 0.0000 0.0000
Pr 0.5000 0.5000 0.5000
Nd 0.3816 0.3231 0.9073
Nd 0.8816 0.5927 0.8231
Nd 0.3816 0.6769 0.0927
Nd 0.1184 0.1769 0.5927
Nd 0.6184 0.9073 0.6769
Nd 0.1184 0.8231 0.4073
Nd 0.8816 0.4073 0.1769
Nd 0.6184 0.0927 0.3231
Sn 0.6182 0.7771 0.3747
Sn 0.6182 0.2229 0.6253
Sn 0.1182 0.8747 0.7229
Sn 0.8818 0.2771 0.8747
Sn 0.8818 0.7229 0.1253
Sn 0.3818 0.3747 0.2229
Sn 0.3818 0.6253 0.7771
Sn 0.1182 0.1253 0.2771

***

Material: Pr14NdSn
Method: DFT, PBE
State: relaxed

The calculation puts the volume at 34.84 A^3/atom. The energy relative to the elements comes out at -74 meV per atom. Its density of states at the Fermi level is 1.38 states/eV per atom. The value obtained for the total energy is -4.804 eV per atom.

Cell lengths 7.3443, 7.3443, 10.3349 Å; angles 90.00, 90.00, 90.01 degrees
Element x y z (fractional)
Pr 0.3753 0.6247 0.5000
Pr 0.8748 0.1252 0.5000
Pr 0.8751 0.6253 0.0000
Pr 0.8749 0.6246 0.5000
Pr 0.3747 0.1249 0.0000
Pr 0.3754 0.1251 0.5000
Pr 0.6184 0.8685 0.7575
Pr 0.6184 0.8685 0.2425
Pr 0.1315 0.3816 0.7575
Pr 0.1315 0.3816 0.2425
Pr 0.1310 0.8690 0.7570
Pr 0.1310 0.8690 0.2430
Pr 0.6191 0.3809 0.7579
Pr 0.6191 0.3809 0.2421
Nd 0.8752 0.1248 0.0000
Sn 0.3745 0.6255 0.0000

***

Material: Pr5Nd5Sn6
Method: DFT, PBE
State: relaxed

The calculation puts the volume at 32.45 A^3/atom. The energy relative to the elements comes out at -690 meV per atom. Its density of states at the Fermi level is 1.12 states/eV per atom. The value obtained for the total energy is -5.174 eV per atom.

Cell lengths 6.8605, 9.3446, 9.3446 Å; angles 119.94, 90.00, 90.00 degrees
Element x y z (fractional)
Pr 0.0000 0.7570 0.9998
Pr 0.0000 0.9998 0.7570
Pr 0.5000 0.7565 0.7565
Pr 0.5000 0.2427 0.0003
Pr 0.5000 0.0003 0.2427
Nd 0.7501 0.3332 0.6668
Nd 0.7501 0.6668 0.3332
Nd 0.2499 0.6668 0.3332
Nd 0.2499 0.3332 0.6668
Nd 0.0000 0.2440 0.2440
Sn 0.0000 0.6050 0.6050
Sn 0.0000 0.3938 0.0007
Sn 0.0000 0.0007 0.3938
Sn 0.5000 0.3945 0.3945
Sn 0.5000 0.6056 0.0000
Sn 0.5000 0.0000 0.6056

***

Material: Pr2Nd3Sn4
Method: DFT, PBE
State: relaxed

The calculation puts the volume at 32.28 A^3/atom. The energy relative to the elements comes out at -591 meV per atom. As for the offset from the most stable computed form: 0.174 eV per atom. Its density of states at the Fermi level is 0.69 states/eV per atom. The value obtained for the total energy is -5.022 eV per atom.

Cell lengths 7.1883, 9.1892, 9.5032 Å; angles 90.00, 112.22, 90.00 degrees
Element x y z (fractional)
Pr 0.1096 0.5902 0.2193
Pr 0.8904 0.4098 0.7807
Pr 0.3904 0.0902 0.7807
Pr 0.6096 0.9098 0.2193
Nd 0.0000 0.0000 0.0000
Nd 0.5000 0.5000 0.0000
Nd 0.5441 0.7500 0.5882
Nd 0.9559 0.2500 0.4118
Nd 0.4559 0.2500 0.4118
Nd 0.0441 0.7500 0.5882
Sn 0.7212 0.7500 0.9424
Sn 0.7788 0.2500 0.0576
Sn 0.2788 0.2500 0.0576
Sn 0.2212 0.7500 0.9424
Sn 0.1839 0.9418 0.3678
Sn 0.8161 0.0582 0.6322
Sn 0.3161 0.4418 0.6322
Sn 0.6839 0.5582 0.3678

***

Material: PrNd2Sn3
Method: DFT, PBE
State: relaxed

The calculation puts the volume at 33.09 A^3/atom. The energy relative to the elements comes out at -561 meV per atom. Its density of states at the Fermi level is 0.86 states/eV per atom. The value obtained for the total energy is -4.948 eV per atom.

Cell lengths 4.5565, 6.4174, 7.8482 Å; angles 114.13, 106.88, 90.00 degrees
Element x y z (fractional)
Pr 0.0000 0.5000 0.0000
Nd 0.6660 0.1660 0.3320
Nd 0.3340 0.8340 0.6680
Sn 0.3318 0.3318 0.6636
Sn 0.0000 0.0000 0.0000
Sn 0.6682 0.6682 0.3364

***

Material: PrNd2Sn9
Method: DFT, PBE
State: relaxed

The calculation puts the volume at 27.35 A^3/atom. The energy relative to the elements comes out at -499 meV per atom. Its density of states at the Fermi level is 0.71 states/eV per atom. The value obtained for the total energy is -4.694 eV per atom.

Cell lengths 4.7656, 4.7656, 14.4518 Å; angles 90.00, 90.00, 90.00 degrees
Element x y z (fractional)
Pr 0.0000 0.0000 0.0000
Nd 0.0000 0.0000 0.3338
Nd 0.0000 0.0000 0.6662
Sn 0.5000 0.5000 0.0000
Sn 0.5000 0.5000 0.3338
Sn 0.5000 0.5000 0.6662
Sn 0.5000 0.0000 0.1675
Sn 0.5000 0.0000 0.5000
Sn 0.5000 0.0000 0.8325
Sn 0.0000 0.5000 0.1675
Sn 0.0000 0.5000 0.5000
Sn 0.0000 0.5000 0.8325

***

Material: PrNd7Sn2
Method: DFT, PBE
State: relaxed

The calculation puts the volume at 42.04 A^3/atom. The energy relative to the elements comes out at 149 meV per atom. Its density of states at the Fermi level is 2.17 states/eV per atom. The value obtained for the total energy is -4.467 eV per atom.

Cell lengths 5.7492, 9.1327, 9.1327 Å; angles 118.75, 90.00, 90.00 degrees
Element x y z (fractional)
Pr 0.0000 0.0000 0.0000
Nd 0.0000 0.7650 0.2350
Nd 0.0000 0.2350 0.7650
Nd 0.5000 0.0560 0.3048
Nd 0.5000 0.9440 0.6952
Nd 0.5000 0.3048 0.0560
Nd 0.5000 0.6952 0.9440
Nd 0.5000 0.5000 0.5000
Sn 0.5000 0.6970 0.3030
Sn 0.5000 0.3030 0.6970

***

Material: PrNd2Sn2
Method: DFT, PBE
State: relaxed

The calculation puts the volume at 30.33 A^3/atom. The energy relative to the elements comes out at -580 meV per atom. As for the offset from the most stable computed form: 0.000 eV per atom. Its density of states at the Fermi level is 0.71 states/eV per atom. The value obtained for the total energy is -5.044 eV per atom.

Cell lengths 5.3821, 5.3821, 6.7967 Å; angles 66.67, 66.67, 59.99 degrees
Element x y z (fractional)
Pr 0.0000 0.5000 0.0000
Nd 0.2093 0.7093 0.3721
Nd 0.7907 0.2907 0.6279
Sn 0.5893 0.0893 0.2322
Sn 0.4107 0.9107 0.7678

***

Material: PrNd8Sn6
Method: DFT, PBE
State: relaxed

The calculation puts the volume at 33.74 A^3/atom. The energy relative to the elements comes out at -573 meV per atom. Its density of states at the Fermi level is 0.61 states/eV per atom. The value obtained for the total energy is -5.036 eV per atom.

Cell lengths 9.3958, 9.3958, 8.5580 Å; angles 56.70, 56.70, 60.00 degrees
Element x y z (fractional)
Pr 0.0000 0.0000 0.0000
Nd 0.5639 0.2291 0.3110
Nd 0.7709 0.1040 0.6890
Nd 0.1040 0.4361 0.6890
Nd 0.6667 0.6667 0.9998
Nd 0.3333 0.3333 0.0002
Nd 0.8960 0.5639 0.3110
Nd 0.2291 0.8960 0.3110
Nd 0.4361 0.7709 0.6890
Sn 0.4026 0.0676 0.7963
Sn 0.9324 0.2665 0.2037
Sn 0.2665 0.5974 0.2037
Sn 0.7335 0.4026 0.7963
Sn 0.0676 0.7335 0.7963
Sn 0.5974 0.9324 0.2037